The following is a PBE calculation of a relaxed structure of Ca2TaCrFe, from Alexandria.

Cell: 5.4795 5.4795 3.9819 Å, 90.00 90.00 90.00°
With the nearest neighbours (Å) after each atom.
Positions (direct):
Ca (0.0000, 0.5000, 0.0000)  2 Cr 2.74
Ca (0.5000, 0.0000, 0.0000)  2 Cr 2.74
Ta (0.0000, 0.0000, 0.5000)  8 Ca 3.39
Cr (0.5000, 0.5000, 0.0000)  2 Fe 1.99
Fe (0.5000, 0.5000, 0.5000)  2 Cr 1.99

Properties
raw total energy	-5.28	eV/atom
D(E_F)	1.586	states/eV/atom